(1)
DFT (PBE) results for CaAc3Fe after structural relaxation.

Cell lengths 5.7209, 5.7209, 5.7209 Å; angles 90.00, 90.00, 90.00 degrees
Last column: nearest neighbours and their distance in Å.
Element x y z (fractional)
Ca 0.0000 0.0000 0.0000  12 Ac 4.05
Ac 0.0000 0.5000 0.5000  2 Fe 2.86
Ac 0.5000 0.0000 0.5000  2 Fe 2.86
Ac 0.5000 0.5000 0.0000  2 Fe 2.86
Fe 0.5000 0.5000 0.5000  6 Ac 2.86

Results
- Magnetic moment: 0.13 μB/f.u.
- Electronic total energy: -4.4584 eV per atom

***

(2)
DFT (PBE) results for Li2ScBiTe4 after structural relaxation.

Cell lengths 7.4469, 4.2898, 7.5002 Å; angles 90.00, 109.56, 90.00 degrees
Last column: nearest neighbours and their distance in Å.
Element x y z (fractional)
Li 0.0000 0.0000 0.0000  6 Te 3.10-3.13
Li 0.0000 0.5000 0.5000  6 Te 2.96-2.99
Sc 0.5000 0.0000 0.5000  6 Te 2.98-2.99
Bi 0.5000 0.5000 0.0000  6 Te 3.11-3.12
Te 0.2429 0.0000 0.7314  3 Li 2.96-3.13, 1 Sc 2.98, 2 Bi 3.12
Te 0.2541 0.5000 0.2637  2 Sc 2.99, 3 Li 2.99-3.10, 1 Bi 3.11
Te 0.7459 0.5000 0.7363  2 Sc 2.99, 3 Li 2.99-3.10, 1 Bi 3.11
Te 0.7571 0.0000 0.2686  3 Li 2.96-3.13, 1 Sc 2.98, 2 Bi 3.12

Results
- Energy relative to the elements, uncorrected: -0.834 eV/atom
- Magnetic moment: 0.00 μB/f.u.
- Electronic total energy: -4.1599 eV per atom

***

(3)
DFT (PBE) results for Zr2HIrPd after structural relaxation.

Cell lengths 4.4215, 4.4215, 3.8384 Å; angles 90.00, 90.00, 90.00 degrees
Last column: nearest neighbours and their distance in Å.
Element x y z (fractional)
Zr 0.0000 0.5000 0.0000  2 H 2.21
Zr 0.5000 0.0000 0.0000  2 H 2.21
H 0.0000 0.0000 0.0000  2 Pd 1.92
Ir 0.5000 0.5000 0.5000  8 Zr 2.93, 4 Pd 3.13
Pd 0.0000 0.0000 0.5000  2 H 1.92

Results
- Magnetic moment: 0.00 μB/f.u.
- Electronic total energy: -7.4643 eV per atom
- Relative energy among the computed polymorphs: 0 meV per atom

***

(4)
DFT (PBE) results for LiTl2Au2 after structural relaxation.

Cell lengths 8.0193, 8.0193, 3.6915 Å; angles 90.00, 90.00, 90.00 degrees
Last column: nearest neighbours and their distance in Å.
Element x y z (fractional)
Li 0.0000 0.0000 0.0000  4 Tl 3.05
Li 0.5000 0.5000 0.0000  4 Tl 3.05
Tl 0.1501 0.3499 0.0000  6 Au 2.91-3.04, 2 Li 3.05
Tl 0.3499 0.8499 0.0000  6 Au 2.91-3.04, 2 Li 3.05
Tl 0.6501 0.1501 0.0000  6 Au 2.91-3.04, 2 Li 3.05
Tl 0.8499 0.6501 0.0000  6 Au 2.91-3.04, 2 Li 3.05
Au 0.1519 0.6519 0.5000  6 Tl 2.91-3.04
Au 0.3481 0.1519 0.5000  6 Tl 2.91-3.04
Au 0.6519 0.8481 0.5000  6 Tl 2.91-3.04
Au 0.8481 0.3481 0.5000  6 Tl 2.91-3.04

Results
- Magnetic moment: 0.00 μB/f.u.
- Electronic total energy: -2.6742 eV per atom
- Relative energy among the computed polymorphs: 97 meV per atom

***

(5)
DFT (PBE) results for OsCl after structural relaxation.

Cell lengths 7.8070, 7.8070, 7.8070 Å; angles 109.47, 109.47, 109.47 degrees
Last column: nearest neighbours and their distance in Å.
Element x y z (fractional)
Os 0.0000 0.0000 0.1939  1 Cl 2.26, 3 Os 2.47
Os 0.0000 0.1939 0.0000  1 Cl 2.26, 3 Os 2.47
Os 0.1939 0.0000 0.0000  1 Cl 2.26, 3 Os 2.47
Os 0.8061 0.8061 0.8061  1 Cl 2.26, 3 Os 2.47
Cl 0.0000 0.0000 0.4834  1 Os 2.26
Cl 0.0000 0.4834 0.0000  1 Os 2.26
Cl 0.4834 0.0000 0.0000  1 Os 2.26
Cl 0.5166 0.5166 0.5166  1 Os 2.26

Results
- Energy relative to the elements, uncorrected: 0.876 eV/atom
- Magnetic moment: 2.00 μB/f.u.
- Electronic total energy: -5.6620 eV per atom
- Relative energy among the computed polymorphs: 752 meV per atom

***

(6)
DFT (PBE) results for Ac6Au5Cl after structural relaxation.

Cell lengths 7.9257, 7.9257, 7.8953 Å; angles 99.61, 99.61, 120.32 degrees
Last column: nearest neighbours and their distance in Å.
Element x y z (fractional)
Ac 0.0713 0.4147 0.7440  5 Au 3.17-3.24, 1 Cl 3.32
Ac 0.2408 0.2408 0.2515  5 Au 3.16-3.22, 1 Cl 3.29
Ac 0.4147 0.0713 0.7440  5 Au 3.17-3.24, 1 Cl 3.32
Ac 0.5853 0.9287 0.2560  5 Au 3.17-3.24, 1 Cl 3.32
Ac 0.7592 0.7592 0.7485  5 Au 3.16-3.22, 1 Cl 3.29
Ac 0.9287 0.5853 0.2560  5 Au 3.17-3.24, 1 Cl 3.32
Au 0.0000 0.0000 0.5000  6 Ac 3.16-3.24
Au 0.1675 0.8325 0.0000  6 Ac 3.21-3.22
Au 0.3371 0.6629 0.5000  6 Ac 3.17-3.23
Au 0.6629 0.3371 0.5000  6 Ac 3.17-3.23
Au 0.8325 0.1675 0.0000  6 Ac 3.21-3.22
Cl 0.5000 0.5000 0.0000  6 Ac 3.29-3.32

Results
- Energy relative to the elements, uncorrected: -0.891 eV/atom
- Magnetic moment: 0.00 μB/f.u.
- Electronic total energy: -4.4642 eV per atom

***

(7)
DFT (PBE) results for Er5Cu2Sb after structural relaxation.

Cell lengths 8.4629, 8.4629, 8.4629 Å; angles 124.96, 124.96, 81.61 degrees
Last column: nearest neighbours and their distance in Å.
Element x y z (fractional)
Er 0.0000 0.0000 0.0000  4 Cu 3.06, 2 Sb 3.20
Er 0.0131 0.5131 0.8096  3 Cu 2.89-2.98
Er 0.2035 0.0131 0.5000  3 Cu 2.89-2.98
Er 0.2965 0.7965 0.8096  3 Cu 2.89-2.98
Er 0.4869 0.2965 0.5000  3 Cu 2.89-2.98
Er 0.5000 0.5000 0.0000  4 Cu 3.06, 2 Sb 3.20
Er 0.5131 0.7035 0.5000  3 Cu 2.89-2.98
Er 0.7035 0.2035 0.1904  3 Cu 2.89-2.98
Er 0.7965 0.9869 0.5000  3 Cu 2.89-2.98
Er 0.9869 0.4869 0.1904  3 Cu 2.89-2.98
Cu 0.1310 0.3690 0.5000  8 Er 2.89-3.06, 1 Cu 2.90
Cu 0.3690 0.8690 0.2380  8 Er 2.89-3.06, 1 Cu 2.90
Cu 0.6310 0.1310 0.7620  8 Er 2.89-3.06, 1 Cu 2.90
Cu 0.8690 0.6310 0.5000  8 Er 2.89-3.06, 1 Cu 2.90
Sb 0.2500 0.2500 0.0000  10 Er 3.20-3.27
Sb 0.7500 0.7500 0.0000  10 Er 3.20-3.27

Results
- Energy relative to the elements, uncorrected: -0.440 eV/atom
- Magnetic moment: 0.00 μB/f.u.
- Electronic total energy: -4.8313 eV per atom

***

(8)
DFT (PBE) results for CaPm2Eu after structural relaxation.

Cell lengths 12.5484, 12.5484, 12.5484 Å; angles 17.05, 17.05, 17.05 degrees
Last column: nearest neighbours and their distance in Å.
Element x y z (fractional)
Ca 0.0000 0.0000 0.0000  6 Ca 3.72, 6 Pm 3.78
Pm 0.2495 0.2495 0.2495  6 Pm 3.72, 3 Eu 3.75, 3 Ca 3.78
Pm 0.7505 0.7505 0.7505  6 Pm 3.72, 3 Eu 3.75, 3 Ca 3.78
Eu 0.5000 0.5000 0.5000  6 Eu 3.72, 6 Pm 3.75

Results
- Magnetic moment: 7.49 μB/f.u.
- Electronic total energy: -5.3607 eV per atom
- Relative energy among the computed polymorphs: 0 meV per atom

***

(9)
DFT (PBE) results for TlCo2NiCl8 after structural relaxation.

Cell lengths 9.8853, 9.8853, 9.8853 Å; angles 36.42, 36.42, 36.42 degrees
Last column: nearest neighbours and their distance in Å.
Element x y z (fractional)
Tl 0.0000 0.0000 0.0000  12 Cl 3.59-3.81
Co 0.2412 0.2412 0.2412  4 Cl 2.19-2.22
Co 0.7588 0.7588 0.7588  4 Cl 2.19-2.22
Ni 0.5000 0.5000 0.5000  6 Cl 2.42
Cl 0.1333 0.7676 0.4448  1 Co 2.22, 1 Ni 2.42
Cl 0.2324 0.5552 0.8667  1 Co 2.22, 1 Ni 2.42
Cl 0.3203 0.3203 0.3203  1 Co 2.19
Cl 0.4448 0.1333 0.7676  1 Co 2.22, 1 Ni 2.42
Cl 0.5552 0.8667 0.2324  1 Co 2.22, 1 Ni 2.42
Cl 0.6797 0.6797 0.6797  1 Co 2.19
Cl 0.7676 0.4448 0.1333  1 Co 2.22, 1 Ni 2.42
Cl 0.8667 0.2324 0.5552  1 Co 2.22, 1 Ni 2.42

Results
- Energy relative to the elements, uncorrected: -0.602 eV/atom
- Magnetic moment: 9.07 μB/f.u.
- Electronic total energy: -3.6963 eV per atom

***

(10)
DFT (PBE) results for Tm4Mg2Tl after structural relaxation.

Cell lengths 10.2322, 10.2322, 10.2322 Å; angles 28.56, 28.56, 28.56 degrees
Last column: nearest neighbours and their distance in Å.
Element x y z (fractional)
Tm 0.1237 0.1237 0.1237  3 Tl 3.18, 3 Mg 3.29
Tm 0.2986 0.2986 0.2986  4 Mg 3.12-3.14
Tm 0.7014 0.7014 0.7014  4 Mg 3.12-3.14
Tm 0.8763 0.8763 0.8763  3 Tl 3.18, 3 Mg 3.29
Mg 0.4054 0.4054 0.4054  1 Tl 2.78, 3 Tm 3.12
Mg 0.5946 0.5946 0.5946  1 Tl 2.78, 3 Tm 3.12
Tl 0.5000 0.5000 0.5000  2 Mg 2.78

Results
- Magnetic moment: 0.00 μB/f.u.
- Electronic total energy: -3.0885 eV per atom
- Relative energy among the computed polymorphs: 248 meV per atom

***

(11)
DFT (PBE) results for BaInBr2 after structural relaxation.

Cell lengths 5.7535, 5.7535, 5.7535 Å; angles 60.00, 60.00, 60.00 degrees
Last column: nearest neighbours and their distance in Å.
Element x y z (fractional)
Ba 0.0000 0.0000 0.0000  8 Br 3.52
In 0.5000 0.5000 0.5000  8 Br 3.52
Br 0.2500 0.2500 0.2500  4 In 3.52, 4 Ba 3.52
Br 0.7500 0.7500 0.7500  4 Ba 3.52, 4 In 3.52

Results
- Energy relative to the elements, uncorrected: -1.182 eV/atom
- Magnetic moment: 0.00 μB/f.u.
- Electronic total energy: -3.1833 eV per atom
- Relative energy among the computed polymorphs: 69 meV per atom

***

(12)
DFT (PBE) results for BaIrCl2 after structural relaxation.

Cell lengths 8.1690, 8.1690, 8.1690 Å; angles 29.67, 29.67, 29.67 degrees
Last column: nearest neighbours and their distance in Å.
Element x y z (fractional)
Ba 0.0000 0.0000 0.0000  2 Cl 3.00
Ir 0.5000 0.5000 0.5000  6 Cl 2.58
Cl 0.1282 0.1282 0.1282  3 Ir 2.58
Cl 0.8718 0.8718 0.8718  3 Ir 2.58

Results
- Energy relative to the elements, uncorrected: 0.023 eV/atom
- Magnetic moment: 0.00 μB/f.u.
- Electronic total energy: -3.5967 eV per atom
- Relative energy among the computed polymorphs: 843 meV per atom